1.
Computed, not measured: crystalline Cs3TlTe2 at its relaxed geometry at the PBE level of DFT.

Structure (POSCAR):
```
Cs3TlTe2
1.0
-3.802 -4.897 1.948
5.499 -8.957 -0.944
7.960 -6.913 8.999
Cs Te Tl
6 4 2
Cartesian
3.031 -14.176 2.800 Cs
8.820 -16.107 9.246 Cs
0.836 -4.660 0.758 Cs
3.801 -5.614 4.146 Cs
5.855 -15.153 5.858 Cs
6.625 -6.591 7.203 Cs
3.432 -8.722 6.455 Te
5.734 -13.730 9.199 Te
3.922 -7.037 0.804 Te
6.223 -12.045 3.549 Te
3.491 -9.972 3.428 Tl
6.165 -10.795 6.575 Tl
```

Results
- Formation energy (no corrections): -830 meV per atom
- Space group: C2/m
- Excess energy over the best structure of this formula in the dataset: 12.7 meV per atom

---

2.
Computed, not measured: crystalline CsTl2Te2 at its relaxed geometry at the PBE level of DFT.

Structure (POSCAR):
```
CsTl2Te2
1.0
-0.584 5.368 2.674
1.820 -2.401 5.218
5.902 2.698 2.663
Tl Te Cs
2 2 1
Cartesian
4.985 3.829 6.982 Tl
2.153 1.836 3.573 Tl
4.170 0.890 5.914 Te
2.968 4.775 4.641 Te
0.000 0.000 0.000 Cs
```

Results
- Formation energy (no corrections): -447 meV per atom
- Space group: I4/mmm
- Excess energy over the best structure of this formula in the dataset: 49.4 meV per atom

---

3.
Computed, not measured: crystalline Cs2Tl5Te4 at its relaxed geometry at the PBE level of DFT.

Structure (POSCAR):
```
Cs2Tl5Te4
1.0
7.000 0.000 0.000
3.500 8.195 0.000
3.500 0.000 8.666
Cs Tl Te
2 5 4
Cartesian
3.500 0.000 5.683 Cs
7.000 0.000 2.983 Cs
5.250 4.097 0.000 Tl
8.750 4.097 4.333 Tl
1.750 4.097 0.000 Tl
3.500 0.000 0.000 Tl
5.250 4.097 4.333 Tl
3.500 2.192 2.378 Te
7.000 2.192 6.287 Te
10.500 6.003 6.287 Te
7.000 6.003 2.378 Te
```

Results
- Formation energy (no corrections): -424 meV per atom
- Space group: Fmmm

---

4.
Computed, not measured: crystalline Cs3TlTe2 at its relaxed geometry at the PBE level of DFT.

Structure (POSCAR):
```
Cs3TlTe2
1.0
-0.793 2.723 -5.368
2.569 -10.803 -5.861
-14.799 -3.690 0.314
Cs Te Tl
12 8 4
Cartesian
-7.913 -2.625 -1.879 Cs
-12.423 -3.575 -1.695 Cs
-4.281 -4.851 -3.545 Cs
-1.945 -7.767 -5.370 Cs
-5.110 -9.145 -9.035 Cs
-0.601 -8.195 -9.219 Cs
-8.743 -6.918 -7.368 Cs
-13.174 -8.197 -7.363 Cs
-3.935 -1.081 -5.117 Cs
-11.078 -4.003 -5.544 Cs
-9.089 -10.689 -5.797 Cs
0.151 -3.572 -3.551 Cs
-2.158 -4.176 -6.950 Te
-4.702 -0.549 -1.301 Te
-8.322 -11.220 -9.613 Te
1.947 -8.363 -6.247 Te
-10.865 -7.593 -3.964 Te
-5.900 -8.328 -5.070 Te
-14.970 -3.407 -4.667 Te
-7.123 -3.442 -5.844 Te
-1.370 -0.419 -1.727 Tl
-7.847 -6.141 -3.673 Tl
-11.654 -11.351 -9.187 Tl
-5.176 -5.629 -7.241 Tl
```

Results
- Formation energy (no corrections): -843 meV per atom
- Space group: Pnma
- Excess energy over the best structure of this formula in the dataset: 0.0 meV per atom

---

5.
Computed, not measured: crystalline CsTl2Te2 at its relaxed geometry at the PBE level of DFT.

Structure (POSCAR):
```
CsTl2Te2
1.0
10.295 0.000 0.000
0.000 10.295 0.000
0.000 0.000 3.730
Te Tl Cs
4 4 2
Cartesian
1.709 3.439 0.000 Te
3.439 8.586 0.000 Te
8.586 6.856 0.000 Te
6.856 1.709 0.000 Te
1.262 6.409 1.865 Tl
6.409 9.032 1.865 Tl
3.885 1.262 1.865 Tl
9.032 3.885 1.865 Tl
0.000 0.000 0.000 Cs
5.147 5.147 0.000 Cs
```

Results
- Formation energy (no corrections): -405 meV per atom
- Space group: P4/mbm
- Excess energy over the best structure of this formula in the dataset: 91.5 meV per atom

---

6.
Computed, not measured: crystalline Cs2Tl2Te3 at its relaxed geometry at the PBE level of DFT.

Structure (POSCAR):
```
Cs2Tl2Te3
1.0
-2.725 4.261 0.472
-1.577 -0.015 -8.966
-4.114 -6.264 5.456
Cs Tl Te
2 2 3
Cartesian
-3.675 1.356 -6.121 Cs
-4.741 -3.374 3.084 Cs
-5.936 -0.503 -2.391 Tl
-2.481 -1.515 -0.646 Tl
-3.267 -1.686 -3.642 Te
-5.149 -0.332 0.605 Te
0.000 0.000 0.000 Te
```

Results
- Formation energy (no corrections): -612 meV per atom
- Space group: C2/m